# 1
Here is Ce2Co12B7 after structural relaxation from Alexandria. Energies are from PBE.

Unit cell a=3.3831 b=8.5150 c=8.5150 alpha=120.00 beta=90.00 gamma=90.00
Sites, in units of the cell vectors:
B: 0.5000 0.6227 0.5740
B: 0.0000 0.7264 0.9636
B: 0.0000 0.3333 0.6667
B: 0.5000 0.9513 0.3773
B: 0.5000 0.4260 0.0487
B: 0.0000 0.0364 0.7627
B: 0.0000 0.2373 0.2736
Co: 0.0000 0.0633 0.5456
Co: 0.0000 0.4823 0.9367
Co: 0.0000 0.9653 0.2351
Co: 0.0000 0.4544 0.5177
Co: 0.5000 0.2345 0.7824
Co: 0.5000 0.3850 0.2819
Co: 0.5000 0.8969 0.6150
Co: 0.5000 0.2176 0.4521
Co: 0.0000 0.2698 0.0347
Co: 0.5000 0.5479 0.7655
Co: 0.5000 0.7181 0.1031
Co: 0.0000 0.7649 0.7302
Ce: 0.5000 0.0000 0.0000
Ce: 0.0000 0.6667 0.3333

Results
energy of formation: -0.326 eV/atom
E_tot: -7.18 eV per atom
ρ: 8310 kg/m³
magnetic moment: 0.00 μB/atom

# 2
Here is CeCo2B2 after structural relaxation from Alexandria. Energies are from PBE.

Unit cell a=3.1958 b=3.9546 c=5.1565 alpha=103.69 beta=108.05 gamma=90.00
Sites, in units of the cell vectors:
Co: 0.3331 0.4038 0.6663
Co: 0.6669 0.5962 0.3337
B: 0.7386 0.1316 0.4772
B: 0.2614 0.8684 0.5228
Ce: 0.0000 0.0000 0.0000

Results
energy of formation: -0.375 eV/atom
E_tot: -7.08 eV per atom
ρ: 7737 kg/m³
magnetic moment: 0.00 μB/atom

# 3
Here is CeCo2B after structural relaxation from Alexandria. Energies are from PBE.

Unit cell a=3.5853 b=3.5853 c=5.2495 alpha=70.03 beta=70.03 gamma=60.00
Sites, in units of the cell vectors:
Co: 0.7925 0.7925 0.6225
Co: 0.2075 0.2075 0.3775
Ce: 0.0000 0.0000 0.0000
B: 0.5000 0.5000 0.5000

Results
energy of formation: -0.247 eV/atom
E_tot: -6.95 eV per atom
ρ: 8311 kg/m³
magnetic moment: 0.00 μB/atom

# 4
Here is Ce3Co11B4 after structural relaxation from Alexandria. Energies are from PBE.

Unit cell a=5.0214 b=5.0214 c=9.8438 alpha=90.00 beta=90.00 gamma=120.00
Each line ends with the local moment (μB).
Sites, in units of the cell vectors:
Co: 0.0000 0.5000 0.5000  0.14
Co: 0.6667 0.3333 0.0000  1.45
Co: 0.3333 0.6667 0.0000  1.45
Co: 0.0000 0.5000 0.7954  0.48
Co: 0.5000 0.0000 0.7954  0.48
Co: 0.5000 0.0000 0.2046  0.48
Co: 0.5000 0.0000 0.5000  0.14
Co: 0.5000 0.5000 0.7954  0.48
Co: 0.5000 0.5000 0.2046  0.48
Co: 0.0000 0.5000 0.2046  0.48
Co: 0.5000 0.5000 0.5000  0.14
B: 0.6667 0.3333 0.3503  -0.02
B: 0.6667 0.3333 0.6497  -0.02
B: 0.3333 0.6667 0.3503  -0.02
B: 0.3333 0.6667 0.6497  -0.02
Ce: 0.0000 0.0000 0.0000  -0.59
Ce: 0.0000 0.0000 0.6608  -0.29
Ce: 0.0000 0.0000 0.3392  -0.29

Results
energy of formation: -0.385 eV/atom
E_tot: -7.20 eV per atom
ρ: 8589 kg/m³
magnetic moment: 0.25 μB/atom